{"formula": "CsLi2Bi", "functional": "GGA-PBE", "state": "relaxed", "delta_e_f_kj_per_mol_fu": -186.0, "final_energy_ev_per_fu": -10.5, "cell": [[4.952, 0.000, 0.000], [2.476, 4.288, 0.000], [2.476, 1.429, 6.605]], "species": ["Cs", "Bi", "Li", "Li"], "fractional_positions": [[0.500, 0.500, 0.500], [0.000, 0.000, 0.000], [0.319, 0.319, 0.044], [0.681, 0.681, 0.956]]}

=====

{"formula": "Pm8Dy4Y", "functional": "GGA-PBE", "state": "relaxed", "delta_e_f_kj_per_mol_fu": 590.3, "final_energy_ev_per_fu": -56.8, "cell": [[-9.247, -0.532, -6.143], [8.951, -5.913, -2.907], [1.705, -1.148, 7.587]], "species": ["Pm", "Pm", "Pm", "Pm", "Pm", "Pm", "Pm", "Pm", "Dy", "Dy", "Dy", "Dy", "Y"], "fractional_positions": [[0.520, 0.760, 0.280], [0.480, 0.240, 0.720], [0.480, 0.240, 0.241], [0.000, 0.240, 0.759], [0.520, 0.760, 0.759], [0.000, 0.760, 0.759], [0.000, 0.240, 0.241], [0.000, 0.760, 0.241], [0.000, 0.000, 0.000], [0.000, 0.500, 0.000], [0.500, 0.500, 0.000], [0.500, 0.000, 0.000], [0.000, 0.500, 0.500]]}

=====

{"formula": "Mg3TaAs", "functional": "GGA-PBE", "state": "relaxed", "e_above_lowest_polymorph_ev_per_atom": 0.614, "delta_e_f_kj_per_mol_fu": 688.3, "final_energy_ev_per_fu": -14.2, "cell": [[5.354, 0.000, 0.000], [0.000, 5.354, 0.000], [0.000, 0.000, 5.354]], "species": ["As", "Mg", "Mg", "Mg", "Ta"], "fractional_positions": [[0.500, 0.500, 0.500], [0.000, 0.500, 0.000], [0.000, 0.000, 0.500], [0.500, 0.000, 0.000], [0.000, 0.000, 0.000]]}

=====

{"formula": "AcPr2Hg5", "functional": "GGA-PBE", "state": "relaxed", "delta_e_f_kj_per_mol_fu": -343.5, "final_energy_ev_per_fu": -18.7, "cell": [[5.457, 0.000, 0.000], [0.000, 5.457, 0.000], [-2.729, -2.729, 7.689]], "species": ["Ac", "Pr", "Pr", "Hg", "Hg", "Hg", "Hg", "Hg"], "fractional_positions": [[0.000, 0.000, 0.000], [0.729, 0.729, 0.458], [0.271, 0.271, 0.542], [0.500, 0.500, 0.000], [0.873, 0.373, 0.746], [0.373, 0.873, 0.746], [0.127, 0.627, 0.254], [0.627, 0.127, 0.254]]}